(1)
4
Lattice="5.186 0.000 0.000 2.593 4.491 0.000 2.593 1.497 4.235" Properties=species:S:1:pos:R:3 comment="CaLaHgIr, relaxed, DFT PBE-GGA" m_tot_mub_per_atom=0.0000 energy_ev_per_atom=-4.47 space_group="F-43m, No. 216" formation_enthalpy_0k_ev_per_atom=-0.446 n_ef_per_ev_atom=0.997 pbc="T T T"
La 7.779 4.491 3.176
Ir 5.186 2.994 2.117
Hg 0.000 0.000 0.000
Ca 2.593 1.497 1.059

(2)
10
Lattice="4.159 0.000 0.000 0.000 4.159 0.000 0.000 0.000 10.451" Properties=species:S:1:pos:R:3 comment="Tb2Cu4SnGe3, relaxed, DFT PBE-GGA" m_tot_mub_per_atom=0.0000 energy_ev_per_atom=-4.80 space_group="P-4m2, No. 115" formation_enthalpy_0k_ev_per_atom=-0.448 n_ef_per_ev_atom=0.355 pbc="T T T"
Tb 2.079 0.000 2.403
Tb 0.000 2.079 8.048
Cu 0.000 2.079 3.676
Cu 2.079 2.079 0.000
Cu 0.000 0.000 0.000
Cu 2.079 0.000 6.775
Ge 2.079 0.000 9.120
Ge 0.000 2.079 1.332
Ge 0.000 0.000 5.226
Sn 2.079 2.079 5.226